LiNiP4O12: optimized geometry, PBE with a Hubbard U.

```
LiNiP4O12
1.0
-2.727 -3.923 7.779
4.914 -7.923 -2.273
8.730 3.963 5.059
Li Ni P O
4 4 16 48
Direct
0.157 0.252 0.705 Li
0.843 0.752 0.795 Li
0.343 0.748 0.205 Li
0.657 0.248 0.295 Li
0.998 0.260 0.279 Ni
0.502 0.740 0.779 Ni
0.002 0.760 0.221 Ni
0.498 0.240 0.721 Ni
0.003 0.542 0.605 P
0.791 0.523 0.392 P
0.695 0.964 0.612 P
0.002 0.487 0.019 P
0.195 0.536 0.388 P
0.805 0.036 0.112 P
0.998 0.987 0.481 P
0.291 0.977 0.608 P
0.503 0.958 0.395 P
0.502 0.013 0.981 P
0.209 0.023 0.108 P
0.498 0.513 0.519 P
0.997 0.042 0.895 P
0.497 0.458 0.105 P
0.709 0.477 0.892 P
0.305 0.464 0.888 P
0.992 0.634 0.064 O
0.502 0.124 0.884 O
0.487 0.855 0.293 O
0.641 0.108 0.635 O
0.881 0.104 0.991 O
0.121 0.953 0.584 O
0.998 0.876 0.384 O
0.863 0.966 0.573 O
0.619 0.896 0.491 O
0.492 0.866 0.936 O
0.316 0.126 0.648 O
0.137 0.466 0.927 O
0.960 0.895 0.861 O
0.684 0.626 0.852 O
0.002 0.376 0.116 O
0.040 0.395 0.639 O
0.149 0.043 0.970 O
0.184 0.874 0.148 O
0.621 0.547 0.416 O
0.987 0.645 0.707 O
0.816 0.374 0.352 O
0.649 0.457 0.030 O
0.013 0.145 0.793 O
0.818 0.144 0.213 O
0.637 0.034 0.073 O
0.859 0.892 0.135 O
0.513 0.355 0.207 O
0.153 0.136 0.191 O
0.653 0.364 0.809 O
0.381 0.396 0.009 O
0.379 0.047 0.084 O
0.682 0.856 0.713 O
0.508 0.366 0.564 O
0.351 0.957 0.470 O
0.008 0.134 0.436 O
0.879 0.453 0.916 O
0.347 0.864 0.691 O
0.182 0.644 0.287 O
0.851 0.543 0.530 O
0.363 0.534 0.427 O
0.540 0.105 0.361 O
0.119 0.604 0.509 O
0.359 0.608 0.865 O
0.498 0.624 0.616 O
0.460 0.605 0.139 O
0.318 0.356 0.787 O
0.847 0.636 0.309 O
0.141 0.392 0.365 O
```

Its total DFT energy (no corrections) is -6.6895 eV/atom. As for the calculated volume: 950 Å³ per cell. The value obtained for the density of states at the Fermi level is 0.4848 states/eV/atom. The calculated density comes out at 2.7 g/cm3. The calculation puts the total moment at 0.171 μB/atom.